BiPAuCl2: relaxed, PBE.

Unit cell a=5.2718 b=5.2718 c=5.7083 alpha=90.00 beta=90.00 gamma=90.00
Closest atoms and distances in Å follow each position.
Element x y z (fractional)
Au: 0.5000 0.5000 0.5000  4 P 3.73, 8 Cl 3.89
P: 0.0000 0.0000 0.5000  2 Bi 2.85
Cl: 0.0000 0.5000 0.0000  2 Bi 2.64
Cl: 0.5000 0.0000 0.0000  2 Bi 2.64
Bi: 0.0000 0.0000 0.0000  4 Cl 2.64, 2 P 2.85

Results
D(E_F)   1.4 states/eV/f.u.
ΔE_f (raw)   0.420 eV per atom
Total energy   -2.833 eV per atom
Symmetry   P4/mmm

***

Rb2BiAuCl6: relaxed, PBE.

Unit cell a=7.6782 b=7.6782 c=7.6782 alpha=60.00 beta=60.00 gamma=60.00
Closest atoms and distances in Å follow each position.
Element x y z (fractional)
Cl: 0.7490 0.2510 0.2510  1 Au 2.70, 1 Bi 2.73
Au: 0.5000 0.5000 0.5000  6 Cl 2.70
Cl: 0.2510 0.2510 0.7490  1 Au 2.70, 1 Bi 2.73
Bi: 0.0000 0.0000 0.0000  6 Cl 2.73
Cl: 0.7490 0.2510 0.7490  1 Au 2.70, 1 Bi 2.73
Cl: 0.7490 0.7490 0.2510  1 Au 2.70, 1 Bi 2.73
Rb: 0.7500 0.7500 0.7500  12 Cl 3.84
Rb: 0.2500 0.2500 0.2500  12 Cl 3.84
Cl: 0.2510 0.7490 0.7490  1 Au 2.70, 1 Bi 2.73
Cl: 0.2510 0.7490 0.2510  1 Au 2.70, 1 Bi 2.73

Results
ΔE_f (raw)   -1.180 eV per atom
Total energy   -3.197 eV per atom
Symmetry   Fm-3m

***

RbBiAuCl6: relaxed, PBE.

Unit cell a=7.5545 b=6.9804 c=7.2578 alpha=86.76 beta=84.24 gamma=57.48
Closest atoms and distances in Å follow each position.
Element x y z (fractional)
Cl: 0.9966 0.3735 0.3266  1 Au 2.48
Cl: 0.3914 0.9638 0.7115  1 Au 2.46
Au: 0.6666 0.6677 0.4994  4 Cl 2.46-2.48
Cl: 0.6447 0.9671 0.2881  1 Au 2.46
Bi: 0.3197 0.3596 0.4998  6 Cl 2.60-2.90
Cl: 0.6301 0.3715 0.6722  1 Au 2.48
Cl: 0.0326 0.6222 0.7530  1 Bi 2.60
Rb: 0.9786 0.0434 0.9981  6 Cl 3.32-3.47
Cl: 0.3394 0.6313 0.2511  1 Bi 2.60

Results
D(E_F)   0.9 states/eV/f.u.
ΔE_f (raw)   -0.949 eV per atom
Total energy   -3.082 eV per atom
Symmetry   P1

***

Rb2BiAuCl6: relaxed, PBE.

Unit cell a=8.1280 b=7.7623 c=8.5309 alpha=60.95 beta=57.86 gamma=61.11
Closest atoms and distances in Å follow each position.
Element x y z (fractional)
Au: 0.6105 0.8741 0.7376  2 Cl 2.30
Cl: 0.4885 0.6710 0.7250  1 Au 2.30
Rb: 0.5489 0.5285 0.3663  6 Cl 3.30-3.60
Cl: 0.5649 0.1919 0.2242  1 Bi 2.72
Cl: 0.7115 0.1011 0.7422  1 Au 2.30
Cl: 0.0204 0.5408 0.2418  1 Bi 2.60
Cl: 0.1459 0.4396 0.7893  1 Bi 2.70
Cl: 0.2059 0.9851 0.2347  1 Bi 2.59
Bi: 0.3304 0.3096 0.0307  4 Cl 2.59-2.72
Rb: 0.0348 0.0200 0.9234  6 Cl 3.30-3.46

Results
D(E_F)   0.0 states/eV/f.u.
ΔE_f (raw)   -1.245 eV per atom
Total energy   -3.262 eV per atom
Symmetry   P1

***

BiAuSCl2: relaxed, PBE.

Unit cell a=4.9454 b=4.9454 c=5.0271 alpha=90.00 beta=90.00 gamma=90.00
Closest atoms and distances in Å follow each position.
Element x y z (fractional)
S: 0.0000 0.0000 0.5000  2 Au 2.51
Cl: 0.5000 0.0000 0.0000  2 Au 2.47
Cl: 0.0000 0.5000 0.0000  2 Au 2.47
Au: 0.0000 0.0000 0.0000  4 Cl 2.47, 2 S 2.51
Bi: 0.5000 0.5000 0.5000  4 S 3.50, 8 Cl 3.53

Results
D(E_F)   3.1 states/eV/f.u.
ΔE_f (raw)   0.140 eV per atom
Total energy   -2.856 eV per atom
Symmetry   P4/mmm

***

BiAuSCl2: relaxed, PBE.

Unit cell a=5.3248 b=5.3248 c=5.4354 alpha=90.00 beta=90.00 gamma=90.00
Closest atoms and distances in Å follow each position.
Element x y z (fractional)
S: 0.0000 0.0000 0.5000  2 Bi 2.72
Cl: 0.0000 0.5000 0.0000  2 Bi 2.66
Au: 0.5000 0.5000 0.5000  4 S 3.77, 8 Cl 3.80
Bi: 0.0000 0.0000 0.0000  4 Cl 2.66, 2 S 2.72
Cl: 0.5000 0.0000 0.0000  2 Bi 2.66

Results
D(E_F)   1.2 states/eV/f.u.
ΔE_f (raw)   0.128 eV per atom
Total energy   -2.868 eV per atom
Symmetry   P4/mmm

***

SiBiAuCl2: relaxed, PBE.

Unit cell a=4.7934 b=5.1122 c=4.7934 alpha=90.00 beta=90.00 gamma=90.00
Closest atoms and distances in Å follow each position.
Element x y z (fractional)
Cl: 0.0000 0.0000 0.5000  2 Si 2.40
Si: 0.0000 0.0000 0.0000  4 Cl 2.40, 2 Au 2.56
Au: 0.0000 0.5000 0.0000  2 Si 2.56
Cl: 0.5000 0.0000 0.0000  2 Si 2.40
Bi: 0.5000 0.5000 0.5000  4 Au 3.39, 8 Cl 3.50

Results
D(E_F)   4.5 states/eV/f.u.
ΔE_f (raw)   0.023 eV per atom
Total energy   -3.232 eV per atom
Symmetry   P4/mmm

***

SnBi2AuCl: relaxed, PBE.

Unit cell a=5.6486 b=4.9002 c=5.6486 alpha=90.00 beta=90.00 gamma=90.00
Closest atoms and distances in Å follow each position.
Element x y z (fractional)
Bi: 0.0000 0.0000 0.5000  2 Au 2.82
Cl: 0.0000 0.5000 0.0000  2 Au 2.45
Bi: 0.5000 0.0000 0.0000  2 Au 2.82
Au: 0.0000 0.0000 0.0000  2 Cl 2.45
Sn: 0.5000 0.5000 0.5000  8 Bi 3.74, 4 Cl 3.99

Results
D(E_F)   4.3 states/eV/f.u.
ΔE_f (raw)   0.275 eV per atom
Total energy   -3.103 eV per atom
Symmetry   P4/mmm